The following is a DFT calculation (GGA-PBE) of a geometry-optimized PrEr2TmIn4 structure.

a = 5.331 Å, b = 5.331 Å, c = 9.277 Å
α = 73.30°, β = 73.30°, γ = 60.00°
Positions (direct):
Er: 0.249 0.249 0.252
Er: 0.751 0.751 0.748
Pr: 0.000 0.000 0.000
In: 0.377 0.377 0.868
In: 0.127 0.127 0.619
Tm: 0.500 0.500 0.500
In: 0.873 0.873 0.381
In: 0.623 0.623 0.132

Results
Final energy, eV per formula unit: -32.88
Volume, Å³/f.u.: 215
Total magnetic moment, μB per cell: 0.00
Energy of formation, eV/atom: -0.44


The following is a DFT calculation (GGA-PBE) of a geometry-optimized Pr6Er3Tm2In structure.

a = 6.224 Å, b = 6.224 Å, c = 11.792 Å
α = 95.10°, β = 95.10°, γ = 120.13°
Positions (direct):
Pr: 0.410 0.082 0.248
Er: 0.500 0.500 0.500
Tm: 0.334 0.666 0.000
Pr: 0.245 0.245 0.751
Pr: 0.918 0.590 0.752
Pr: 0.082 0.410 0.248
In: 0.000 0.000 0.000
Er: 0.168 0.832 0.500
Pr: 0.590 0.918 0.752
Pr: 0.755 0.755 0.249
Tm: 0.666 0.334 0.000
Er: 0.832 0.168 0.500

Results
Final energy, eV per formula unit: -54.32
Volume, Å³/f.u.: 389
Total magnetic moment, μB per cell: 0.00
Energy of formation, eV/atom: -0.02


The following is a DFT calculation (GGA-PBE) of a geometry-optimized PrErTm2In4 structure.

a = 5.328 Å, b = 5.328 Å, c = 9.266 Å
α = 73.29°, β = 73.29°, γ = 60.00°
Positions (direct):
Tm: 0.751 0.751 0.748
In: 0.377 0.377 0.868
Er: 0.500 0.500 0.500
In: 0.623 0.623 0.132
Tm: 0.249 0.249 0.252
In: 0.127 0.127 0.619
In: 0.873 0.873 0.381
Pr: 0.000 0.000 0.000

Results
Final energy, eV per formula unit: -32.75
Volume, Å³/f.u.: 215
Total magnetic moment, μB per cell: 0.00
Energy of formation, eV/atom: -0.44


The following is a DFT calculation (GGA-PBE) of a geometry-optimized Pr6Er2Tm3In structure.

a = 6.216 Å, b = 6.216 Å, c = 11.796 Å
α = 95.08°, β = 95.08°, γ = 120.11°
Positions (direct):
Tm: 0.500 0.500 0.500
Er: 0.667 0.333 0.000
Pr: 0.589 0.917 0.751
Pr: 0.245 0.245 0.750
Tm: 0.168 0.832 0.500
Pr: 0.083 0.411 0.249
Er: 0.333 0.667 0.000
Pr: 0.755 0.755 0.250
In: 0.000 0.000 0.000
Pr: 0.917 0.589 0.751
Pr: 0.411 0.083 0.249
Tm: 0.832 0.168 0.500

Results
Final energy, eV per formula unit: -54.26
Volume, Å³/f.u.: 388
Total magnetic moment, μB per cell: 0.00
Energy of formation, eV/atom: -0.03


The following is a DFT calculation (GGA-PBE) of a geometry-optimized Pr2ErZn2In2 structure.

a = 4.721 Å, b = 4.721 Å, c = 9.848 Å
α = 76.13°, β = 76.13°, γ = 60.00°
Positions (direct):
Er: 0.000 0.000 0.000
Pr: 0.874 0.874 0.378
In: 0.269 0.269 0.192
Pr: 0.126 0.126 0.622
In: 0.731 0.731 0.808
Zn: 0.389 0.389 0.833
Zn: 0.611 0.611 0.167

Results
Final energy, eV per formula unit: -24.19
Volume, Å³/f.u.: 183
Total magnetic moment, μB per cell: 0.00
Energy of formation, eV/atom: -0.29


The following is a DFT calculation (GGA-PBE) of a geometry-optimized Er8In2Pt structure.

a = 5.041 Å, b = 6.621 Å, c = 9.765 Å
α = 103.50°, β = 104.96°, γ = 90.00°
Positions (direct):
Er: 0.590 0.451 0.180
Er: 0.410 0.549 0.820
Er: 0.647 0.984 0.293
In: 0.815 0.246 0.630
Er: 0.980 0.222 0.960
Er: 0.020 0.778 0.040
Er: 0.787 0.687 0.575
Pt: 0.500 0.000 0.000
In: 0.185 0.754 0.370
Er: 0.213 0.313 0.425
Er: 0.353 0.016 0.707

Results
Final energy, eV per formula unit: -52.37
Volume, Å³/f.u.: 306
Total magnetic moment, μB per cell: 0.00
Energy of formation, eV/atom: -0.40


The following is a DFT calculation (GGA-PBE) of a geometry-optimized Er2In8Pt structure.

a = 4.682 Å, b = 4.682 Å, c = 12.064 Å
α = 90.00°, β = 90.00°, γ = 90.00°
Positions (direct):
In: 0.000 0.500 0.128
Pt: 0.000 0.000 0.000
In: 0.500 0.000 0.128
In: 0.500 0.000 0.500
Er: 0.000 0.000 0.310
In: 0.500 0.000 0.872
In: 0.000 0.500 0.872
Er: 0.000 0.000 0.690
In: 0.500 0.500 0.309
In: 0.000 0.500 0.500
In: 0.500 0.500 0.691

Results
Final energy, eV per formula unit: -41.38
Volume, Å³/f.u.: 264
Total magnetic moment, μB per cell: 0.00
Energy of formation, eV/atom: -0.39


The following is a DFT calculation (GGA-PBE) of a geometry-optimized ErInPt2 structure.

a = 3.468 Å, b = 3.468 Å, c = 6.473 Å
α = 90.00°, β = 90.00°, γ = 90.00°
Positions (direct):
Pt: 0.000 0.000 0.241
In: 0.500 0.500 0.000
Er: 0.500 0.500 0.500
Pt: 0.000 0.000 0.759

Results
Final energy, eV per formula unit: -22.94
Volume, Å³/f.u.: 78
Total magnetic moment, μB per cell: 0.00
Energy of formation, eV/atom: -0.89


The following is a DFT calculation (GGA-PBE) of a geometry-optimized Er3InPt2 structure.

a = 3.504 Å, b = 3.504 Å, c = 11.047 Å
α = 90.00°, β = 90.00°, γ = 90.00°
Positions (direct):
Pt: 0.500 0.500 0.839
In: 0.500 0.500 0.500
Er: 0.000 0.000 0.694
Er: 0.000 0.000 0.000
Pt: 0.500 0.500 0.161
Er: 0.000 0.000 0.306

Results
Final energy, eV per formula unit: -34.56
Volume, Å³/f.u.: 136
Total magnetic moment, μB per cell: 0.00
Energy of formation, eV/atom: -1.01


The following is a DFT calculation (GGA-PBE) of a geometry-optimized ErIn2Pt9 structure.

a = 4.070 Å, b = 4.070 Å, c = 12.175 Å
α = 90.00°, β = 90.00°, γ = 90.00°
Positions (direct):
Er: 0.000 0.000 0.000
In: 0.000 0.000 0.664
Pt: 0.500 0.000 0.831
Pt: 0.500 0.500 0.000
Pt: 0.500 0.000 0.169
Pt: 0.000 0.500 0.169
Pt: 0.000 0.500 0.831
Pt: 0.500 0.500 0.335
Pt: 0.500 0.500 0.665
In: 0.000 0.000 0.336
Pt: 0.000 0.500 0.500
Pt: 0.500 0.000 0.500

Results
Final energy, eV per formula unit: -71.68
Volume, Å³/f.u.: 202
Total magnetic moment, μB per cell: 0.00
Energy of formation, eV/atom: -0.61


The following is a DFT calculation (GGA-PBE) of a geometry-optimized Er3InPt structure.

a = 7.290 Å, b = 9.021 Å, c = 9.022 Å
α = 73.63°, β = 90.00°, γ = 90.00°
Positions (direct):
Pt: 0.250 0.127 0.439
Er: 0.000 0.369 0.369
In: 0.250 0.675 0.325
Er: 0.500 0.369 0.369
Pt: 0.250 0.561 0.873
In: 0.750 0.325 0.675
Er: 0.505 0.693 0.030
Er: 0.000 0.631 0.631
Pt: 0.750 0.439 0.127
In: 0.250 0.001 0.999
Er: 0.500 0.631 0.631
Er: 0.505 0.970 0.307
Er: 0.005 0.030 0.693
Er: 0.995 0.970 0.307
Er: 0.995 0.693 0.030
Er: 0.495 0.307 0.970
Er: 0.005 0.307 0.970
In: 0.750 0.999 0.001
Pt: 0.750 0.873 0.561
Er: 0.495 0.030 0.693

Results
Final energy, eV per formula unit: -25.53
Volume, Å³/f.u.: 142
Total magnetic moment, μB per cell: 0.00
Energy of formation, eV/atom: -0.61


The following is a DFT calculation (GGA-PBE) of a geometry-optimized ErInPt2 structure.

a = 4.784 Å, b = 4.784 Å, c = 4.784 Å
α = 60.00°, β = 60.00°, γ = 60.00°
Positions (direct):
Pt: 0.250 0.250 0.250
In: 0.000 0.000 0.000
Pt: 0.750 0.750 0.750
Er: 0.500 0.500 0.500

Results
Final energy, eV per formula unit: -23.14
Volume, Å³/f.u.: 77
Total magnetic moment, μB per cell: 0.00
Energy of formation, eV/atom: -0.94


The following is a DFT calculation (GGA-PBE) of a geometry-optimized Er6InPt structure.

a = 7.019 Å, b = 7.038 Å, c = 7.176 Å
α = 60.78°, β = 60.95°, γ = 60.03°
Positions (direct):
Er: 0.034 0.431 0.756
Er: 0.570 0.219 0.245
Pt: 0.000 0.000 0.000
In: 0.500 0.500 0.500
Er: 0.780 0.032 0.755
Er: 0.966 0.569 0.244
Er: 0.220 0.968 0.245
Er: 0.430 0.781 0.755

Results
Final energy, eV per formula unit: -37.61
Volume, Å³/f.u.: 254
Total magnetic moment, μB per cell: 0.00
Energy of formation, eV/atom: -0.18


The following is a DFT calculation (GGA-PBE) of a geometry-optimized Er6InPt2 structure.

a = 8.495 Å, b = 8.495 Å, c = 8.495 Å
α = 104.43°, β = 110.91°, γ = 113.19°
Positions (direct):
Er: 0.202 0.763 0.965
Er: 0.302 0.632 0.330
Er: 0.107 0.290 0.817
Er: 0.698 0.368 0.670
Pt: 0.500 0.365 0.865
Pt: 0.500 0.635 0.135
Er: 0.798 0.237 0.035
Er: 0.893 0.710 0.183
Er: 0.527 0.710 0.817
Er: 0.798 0.763 0.561
Er: 0.698 0.028 0.330
Er: 0.473 0.290 0.183
Er: 0.202 0.237 0.439
Er: 0.302 0.972 0.670
In: 0.000 0.500 0.500
Pt: 0.339 0.000 0.339
In: 0.000 0.000 0.000
Pt: 0.661 0.000 0.661

Results
Final energy, eV per formula unit: -49.05
Volume, Å³/f.u.: 234
Total magnetic moment, μB per cell: 0.00
Energy of formation, eV/atom: -0.76


The following is a DFT calculation (GGA-PBE) of a geometry-optimized Er5In2Pt structure.

a = 4.810 Å, b = 7.074 Å, c = 12.485 Å
α = 90.00°, β = 90.00°, γ = 90.00°
Positions (direct):
In: 0.500 0.100 0.339
Pt: 0.000 0.000 0.000
Er: 0.500 0.677 0.416
Er: 0.500 0.323 0.584
Er: 0.000 0.000 0.500
In: 0.500 0.600 0.161
Er: 0.500 0.177 0.084
In: 0.500 0.900 0.661
Er: 0.000 0.372 0.286
Er: 0.500 0.823 0.916
Pt: 0.000 0.500 0.500
Er: 0.000 0.128 0.786
Er: 0.000 0.872 0.214
Er: 0.000 0.500 0.000
Er: 0.000 0.628 0.714
In: 0.500 0.400 0.839

Results
Final energy, eV per formula unit: -39.06
Volume, Å³/f.u.: 212
Total magnetic moment, μB per cell: 0.00
Energy of formation, eV/atom: -0.59


The following is a DFT calculation (GGA-PBE) of a geometry-optimized ErInPt2 structure.

a = 3.540 Å, b = 4.684 Å, c = 4.684 Å
α = 90.00°, β = 90.00°, γ = 90.00°
Positions (direct):
Pt: 0.000 0.000 0.500
Er: 0.500 0.500 0.500
In: 0.500 0.000 0.000
Pt: 0.000 0.500 0.000

Results
Final energy, eV per formula unit: -22.90
Volume, Å³/f.u.: 78
Total magnetic moment, μB per cell: 0.00
Energy of formation, eV/atom: -0.88


The following is a DFT calculation (GGA-PBE) of a geometry-optimized ErIn2Pt structure.

a = 3.427 Å, b = 3.427 Å, c = 10.392 Å
α = 80.51°, β = 80.51°, γ = 60.00°
Positions (direct):
Pt: 0.500 0.500 0.500
In: 0.897 0.897 0.308
In: 0.103 0.103 0.692
Er: 0.000 0.000 0.000

Results
Final energy, eV per formula unit: -16.07
Volume, Å³/f.u.: 104
Total magnetic moment, μB per cell: 0.00
Energy of formation, eV/atom: 0.00


The following is a DFT calculation (GGA-PBE) of a geometry-optimized ErIn5Pt4 structure.

a = 4.710 Å, b = 6.737 Å, c = 7.881 Å
α = 114.38°, β = 107.39°, γ = 90.00°
Positions (direct):
In: 0.173 0.680 0.347
Er: 0.500 0.000 0.000
In: 0.827 0.320 0.653
Pt: 0.009 0.750 0.017
In: 0.834 0.834 0.667
Pt: 0.991 0.250 0.983
In: 0.166 0.166 0.333
Pt: 0.335 0.583 0.670
In: 0.500 0.500 0.000
Pt: 0.665 0.417 0.330

Results
Final energy, eV per formula unit: -47.85
Volume, Å³/f.u.: 215
Total magnetic moment, μB per cell: 0.00
Energy of formation, eV/atom: -0.54


The following is a DFT calculation (GGA-PBE) of a geometry-optimized ErIn2Pt2 structure.

a = 4.675 Å, b = 4.713 Å, c = 9.971 Å
α = 90.88°, β = 90.00°, γ = 90.00°
Positions (direct):
Pt: 0.250 0.281 0.481
Pt: 0.750 0.719 0.519
Pt: 0.250 0.241 0.844
Er: 0.250 0.767 0.325
In: 0.750 0.256 0.323
Pt: 0.750 0.759 0.156
In: 0.250 0.747 0.992
In: 0.750 0.253 0.008
In: 0.250 0.744 0.677
Er: 0.750 0.233 0.675

Results
Final energy, eV per formula unit: -26.11
Volume, Å³/f.u.: 110
Total magnetic moment, μB per cell: 0.00
Energy of formation, eV/atom: -0.80


The following is a DFT calculation (GGA-PBE) of a geometry-optimized Er5InPt structure.

a = 6.447 Å, b = 6.447 Å, c = 11.344 Å
α = 74.46°, β = 74.46°, γ = 64.02°
Positions (direct):
Er: 0.215 0.531 0.547
Er: 0.404 0.047 0.359
Er: 0.596 0.953 0.641
Pt: 0.000 0.000 0.000
Er: 0.047 0.404 0.859
Er: 0.531 0.215 0.047
In: 0.535 0.465 0.750
Er: 0.469 0.785 0.953
Er: 0.015 0.985 0.750
Pt: 0.000 0.000 0.500
Er: 0.785 0.469 0.453
Er: 0.985 0.015 0.250
In: 0.465 0.535 0.250
Er: 0.953 0.596 0.141

Results
Final energy, eV per formula unit: -34.06
Volume, Å³/f.u.: 201
Total magnetic moment, μB per cell: 0.00
Energy of formation, eV/atom: -0.35